1.
Below is an optimized crystal structure of NaAcPrSb, with properties calculated at the GGA-PBE level.

As for the density: 6.645 g/cm3. For the volume, the calculation gives 512 Å³ per cell. The value obtained for the uncorrected formation energy is -1.44 eV per formula unit. The value obtained for the density of states at the Fermi level is 18.90 states/eV/cell.

a = 8.002 Å, b = 8.002 Å, c = 8.002 Å
α = 90.00°, β = 90.00°, γ = 90.00°
Space group F-43m (No. 216)
One atom of each set of equivalent atoms:
Na1 0.000 0.000 0.000 [4 per cell]
Ac1 0.250 0.250 0.250 [4 per cell]
Pr1 0.250 0.250 0.750 [4 per cell]
Sb1 0.000 0.000 0.500 [4 per cell]



2.
Below is an optimized crystal structure of NaAc2Pr3Se6, with properties calculated at the GGA-PBE level.

As for the density: 6.575 g/cm3. For the volume, the calculation gives 694 Å³ per cell. The value obtained for the uncorrected formation energy is -21.66 eV per formula unit. The value obtained for the density of states at the Fermi level is 10.81 states/eV/cell.

a = 7.468 Å, b = 12.963 Å, c = 7.591 Å
α = 90.00°, β = 109.27°, γ = 90.00°
Space group C2/m (No. 12)
One atom of each set of equivalent atoms:
Na1 0.000 0.000 0.000 [2 per cell]
Ac1 0.000 0.334 0.000 [4 per cell]
Pr1 0.000 0.165 0.500 [4 per cell]
Pr2 0.000 0.500 0.500 [2 per cell]
Se1 0.240 0.000 0.746 [4 per cell]
Se2 0.249 0.163 0.257 [8 per cell]



3.
Below is an optimized crystal structure of NaAcPr2Se4, with properties calculated at the GGA-PBE level.

As for the density: 6.127 g/cm3. For the volume, the calculation gives 230 Å³ per cell. The value obtained for the uncorrected formation energy is -14.23 eV per formula unit. The value obtained for the density of states at the Fermi level is 2.68 states/eV/cell.

a = 7.411 Å, b = 4.308 Å, c = 7.611 Å
α = 90.00°, β = 109.03°, γ = 90.00°
Space group P2/m (No. 10)
One atom of each set of equivalent atoms:
Na1 0.000 0.000 0.000 [1 per cell]
Ac1 0.500 0.500 0.000 [1 per cell]
Pr1 0.000 0.500 0.500 [1 per cell]
Pr2 0.500 0.000 0.500 [1 per cell]
Se1 0.242 0.000 0.744 [2 per cell]
Se2 0.249 0.500 0.256 [2 per cell]



4.
Below is an optimized crystal structure of NaAcPrSe3, with properties calculated at the GGA-PBE level.

As for the density: 5.969 g/cm3. For the volume, the calculation gives 349 Å³ per cell. The value obtained for the uncorrected formation energy is -9.61 eV per formula unit. The value obtained for the density of states at the Fermi level is 6.05 states/eV/cell.

a = 8.842 Å, b = 4.297 Å, c = 9.523 Å
α = 90.00°, β = 105.08°, γ = 90.00°
Space group P2_1/m (No. 11)
One atom of each set of equivalent atoms:
Na1 0.098 0.250 0.088 [2 per cell]
Ac1 0.197 0.250 0.726 [2 per cell]
Pr1 0.338 0.750 0.350 [2 per cell]
Se1 0.094 0.250 0.377 [2 per cell]
Se2 0.240 0.750 0.991 [2 per cell]
Se3 0.436 0.750 0.675 [2 per cell]



5.
Below is an optimized crystal structure of NaAc3Pr2Se6, with properties calculated at the GGA-PBE level.

As for the density: 6.849 g/cm3. For the volume, the calculation gives 708 Å³ per cell. The value obtained for the uncorrected formation energy is -21.66 eV per formula unit. The value obtained for the density of states at the Fermi level is 11.70 states/eV/cell.

a = 7.598 Å, b = 13.195 Å, c = 7.504 Å
α = 90.00°, β = 109.83°, γ = 90.00°
Space group C2/m (No. 12)
One atom of each set of equivalent atoms:
Na1 0.000 0.000 0.000 [2 per cell]
Ac1 0.000 0.166 0.500 [4 per cell]
Ac2 0.000 0.500 0.500 [2 per cell]
Pr1 0.000 0.334 0.000 [4 per cell]
Se1 0.244 0.165 0.238 [8 per cell]
Se2 0.249 0.500 0.235 [4 per cell]



6.
Below is an optimized crystal structure of Na3AcPr2Se6, with properties calculated at the GGA-PBE level.

As for the density: 4.981 g/cm3. For the volume, the calculation gives 701 Å³ per cell. The value obtained for the uncorrected formation energy is -20.30 eV per formula unit. The value obtained for the density of states at the Fermi level is 0.00 states/eV/cell.

a = 7.596 Å, b = 13.160 Å, c = 7.458 Å
α = 90.00°, β = 109.86°, γ = 90.00°
Space group C2/m (No. 12)
One atom of each set of equivalent atoms:
Na1 0.000 0.000 0.000 [2 per cell]
Na2 0.000 0.333 0.000 [4 per cell]
Ac1 0.000 0.500 0.500 [2 per cell]
Pr1 0.000 0.167 0.500 [4 per cell]
Se1 0.238 0.000 0.741 [4 per cell]
Se2 0.249 0.171 0.261 [8 per cell]



7.
Below is an optimized crystal structure of Na2AcPr3Se6, with properties calculated at the GGA-PBE level.

As for the density: 5.687 g/cm3. For the volume, the calculation gives 683 Å³ per cell. The value obtained for the uncorrected formation energy is -20.95 eV per formula unit. The value obtained for the density of states at the Fermi level is 7.27 states/eV/cell.

a = 7.403 Å, b = 12.821 Å, c = 7.605 Å
α = 90.00°, β = 108.91°, γ = 90.00°
Space group C2/m (No. 12)
One atom of each set of equivalent atoms:
Na1 0.000 0.167 0.000 [4 per cell]
Ac1 0.000 0.500 0.000 [2 per cell]
Pr1 0.000 0.000 0.500 [2 per cell]
Pr2 0.000 0.333 0.500 [4 per cell]
Se1 0.246 0.168 0.745 [8 per cell]
Se2 0.249 0.000 0.256 [4 per cell]



8.
Below is an optimized crystal structure of Na3Ac2PrSe6, with properties calculated at the GGA-PBE level.

As for the density: 5.224 g/cm3. For the volume, the calculation gives 723 Å³ per cell. The value obtained for the uncorrected formation energy is -20.49 eV per formula unit. The value obtained for the density of states at the Fermi level is 0.00 states/eV/cell.

a = 19.039 Å, b = 4.452 Å, c = 8.697 Å
α = 90.00°, β = 101.18°, γ = 90.00°
Space group C2/m (No. 12)
One atom of each set of equivalent atoms:
Na1 0.000 0.000 0.000 [2 per cell]
Na2 0.164 0.500 0.331 [4 per cell]
Ac1 0.166 0.500 0.829 [4 per cell]
Pr1 0.000 0.000 0.500 [2 per cell]
Se1 0.000 0.500 0.264 [4 per cell]
Se2 0.161 0.000 0.579 [4 per cell]
Se3 0.167 0.000 0.080 [4 per cell]



9.
Below is an optimized crystal structure of NaAc4PrSe8, with properties calculated at the GGA-PBE level.

As for the density: 5.344 g/cm3. For the volume, the calculation gives 1588 Å³ per cell. The value obtained for the uncorrected formation energy is -25.63 eV per formula unit. The value obtained for the density of states at the Fermi level is 0.00 states/eV/cell.

a = 9.1432 Å, b = 9.1432 Å, c = 21.9354 Å
α = 90.00°, β = 90.00°, γ = 120.00°
Space group R3m (No. 160, hexagonal axes)
One atom of each set of equivalent atoms:
Na1 0.0000 0.0000 0.0000 [3 per cell]
Ac1 0.0000 0.0000 0.7517 [3 per cell]
Ac2 0.0095 0.5048 0.8761 [9 per cell]
Pr1 0.0000 0.0000 0.3701 [3 per cell]
Se1 0.0000 0.0000 0.1335 [3 per cell]
Se2 0.0000 0.0000 0.6163 [3 per cell]
Se3 0.0290 0.5145 0.1256 [9 per cell]
Se4 0.1813 0.3626 0.9587 [9 per cell]



10.
Below is an optimized crystal structure of NaAcPrSn, with properties calculated at the GGA-PBE level.

The value obtained for the formation energy is -29 kJ per mole of atoms. As for the density: 6.517 g/cm3. For the volume, the calculation gives 519 Å³ per cell. The value obtained for the density of states at the Fermi level is 12.90 states/eV/cell.

a = 8.038 Å, b = 8.038 Å, c = 8.038 Å
α = 90.00°, β = 90.00°, γ = 90.00°
Space group F-43m (No. 216)
One atom of each set of equivalent atoms:
Na1 0.000 0.000 0.000 [4 per cell]
Ac1 0.250 0.250 0.250 [4 per cell]
Pr1 0.250 0.250 0.750 [4 per cell]
Sn1 0.000 0.000 0.500 [4 per cell]



11.
Below is an optimized crystal structure of NaAcTbPr, with properties calculated at the GGA-PBE level.

The value obtained for the formation energy is 23 kJ per mole of atoms. As for the density: 6.206 g/cm3. For the volume, the calculation gives 588 Å³ per cell. The value obtained for the density of states at the Fermi level is 22.23 states/eV/cell.

a = 8.380 Å, b = 8.380 Å, c = 8.380 Å
α = 90.00°, β = 90.00°, γ = 90.00°
Space group F-43m (No. 216)
One atom of each set of equivalent atoms:
Na1 0.000 0.000 0.000 [4 per cell]
Ac1 0.250 0.250 0.750 [4 per cell]
Tb1 0.000 0.000 0.500 [4 per cell]
Pr1 0.250 0.250 0.250 [4 per cell]



12.
Below is an optimized crystal structure of NaAc2PrTe5, with properties calculated at the GGA-PBE level.

As for the density: 6.525 g/cm3. For the volume, the calculation gives 1278 Å³ per cell. The value obtained for the uncorrected formation energy is -12.54 eV per formula unit.

a = 4.671 Å, b = 19.317 Å, c = 14.169 Å
α = 90.00°, β = 90.00°, γ = 90.00°
Space group Cmc2_1 (No. 36)
One atom of each set of equivalent atoms:
Na1 0.000 0.035 0.000 [4 per cell]
Ac1 0.000 0.369 0.833 [4 per cell]
Ac2 0.000 0.395 0.217 [4 per cell]
Pr1 0.000 0.299 0.540 [4 per cell]
Te1 0.000 0.006 0.304 [4 per cell]
Te2 0.000 0.133 0.531 [4 per cell]
Te3 0.000 0.188 0.881 [4 per cell]
Te4 0.000 0.220 0.196 [4 per cell]
Te5 0.000 0.446 0.616 [4 per cell]



Number 1: size of the total moment 0.000 μB/atom. Number 2: size of the total moment 0.000 μB/atom. Number 3: size of the total moment 0.000 μB/atom. Number 4: size of the total moment 0.000 μB/atom. Number 5: size of the total moment 0.000 μB/atom. Number 6: size of the total moment 0.000 μB/atom. Number 7: size of the total moment 0.000 μB/atom. Number 8: size of the total moment 0.000 μB/atom. Number 9: size of the total moment 0.000 μB/atom. Number 10: size of the total moment 0.002 μB/atom. Number 11: size of the total moment 0.000 μB/atom. Number 12: size of the total moment 0.000 μB/atom.